Computed, not measured: a relaxed structure of ScBr2Cl at the GGA-PBEsol level of DFT.

Summary:
Calculated density: 3.17 g cm⁻³
Relative energy among the computed polymorphs: 0.00 kJ per mole of atoms
Symmetry: No. 65
E_form (uncorrected): -1.798 eV/atom

Lattice parameters (Å, degrees): 7.2202 7.2202 3.7616 90.00 90.00 140.04
Closest atoms and distances in Å follow each position.
Fractional coordinates of all 4 atoms:
Sc 0.0000 0.0000 0.0000  2 Cl 2.47, 4 Br 2.63
Br 0.1357 0.8643 0.5000  2 Sc 2.63
Br 0.8643 0.1357 0.5000  2 Sc 2.63
Cl 0.5000 0.5000 0.0000  2 Sc 2.47